# 1
# Na2Sn3Au5 PBE optimized geometry
data_Na2Sn3Au5
_cell_length_a 9.706
_cell_length_b 12.106
_cell_length_c 8.377
_cell_angle_alpha 90.00
_cell_angle_beta 90.00
_cell_angle_gamma 90.00
_symmetry_space_group_name_H-M 'I b a m'
_symmetry_Int_Tables_number 72
_symmetry_space_group_name_Hall '-I 2 2c'
loop_
_atom_site_label
_atom_site_type_symbol
_atom_site_fract_x
_atom_site_fract_y
_atom_site_fract_z
Na1 Na 0.246 0.131 0.000
Sn1 Sn 0.000 0.500 0.250
Sn2 Sn 0.108 0.127 0.500
Au1 Au 0.000 0.000 0.250
Au2 Au 0.000 0.251 0.250
Au3 Au 0.113 0.382 0.000
# Crystal system: orthorhombic
# DOS at the Fermi energy in states/eV/f.u.: 4.01
# Total energy in eV per atom: -3.332

---

# 2
# Sm2Y6TmSc3 PBE optimized geometry
data_Sm2Y6TmSc3
_cell_length_a 6.082
_cell_length_b 10.530
_cell_length_c 11.537
_cell_angle_alpha 90.00
_cell_angle_beta 100.11
_cell_angle_gamma 90.00
_symmetry_space_group_name_H-M 'C 1 2/m 1'
_symmetry_Int_Tables_number 12
loop_
_symmetry_equiv_pos_as_xyz
'x,y,z'
'-x,-y,-z'
'-x,y,-z'
'x,-y,z'
'x+1/2,y+1/2,z'
'-x+1/2,-y+1/2,-z'
'-x+1/2,y+1/2,-z'
'x+1/2,-y+1/2,z'
loop_
_atom_site_label
_atom_site_type_symbol
_atom_site_fract_x
_atom_site_fract_y
_atom_site_fract_z
Sm1 Sm 0.000 0.167 0.000
Y1 Y 0.246 0.500 0.740
Y2 Y 0.247 0.166 0.740
Tm1 Tm 0.000 0.500 0.000
Sc1 Sc 0.000 0.000 0.500
Sc2 Sc 0.000 0.334 0.500
# Crystal system: monoclinic
# DOS at the Fermi energy in states/eV/f.u.: 19.03
# Total energy in eV per atom: -5.922

---

# 3
# BeGe2TeOs PBE optimized geometry
data_BeGe2TeOs
_cell_length_a 5.385
_cell_length_b 5.385
_cell_length_c 4.215
_cell_angle_alpha 90.00
_cell_angle_beta 90.00
_cell_angle_gamma 90.00
_symmetry_space_group_name_H-M 'P 4/m m m'
_symmetry_Int_Tables_number 123
_symmetry_space_group_name_Hall '-P 4 2'
loop_
_atom_site_label
_atom_site_type_symbol
_atom_site_fract_x
_atom_site_fract_y
_atom_site_fract_z
Be1 Be 0.000 0.000 0.000
Ge1 Ge 0.000 0.500 0.500
Te1 Te 0.000 0.000 0.500
Os1 Os 0.500 0.500 0.000
# Crystal system: tetragonal
# Raw formation energy in eV per atom: 1.918
# DOS at the Fermi energy in states/eV/f.u.: 2.75

---

# 4
# Ti2Cd2Pt PBE optimized geometry
data_Ti2Cd2Pt
_cell_length_a 7.061
_cell_length_b 7.061
_cell_length_c 3.731
_cell_angle_alpha 90.00
_cell_angle_beta 90.00
_cell_angle_gamma 90.00
_symmetry_space_group_name_H-M 'P 4/m b m'
_symmetry_Int_Tables_number 127
_symmetry_space_group_name_Hall '-P 4 2ab'
loop_
_atom_site_label
_atom_site_type_symbol
_atom_site_fract_x
_atom_site_fract_y
_atom_site_fract_z
Ti1 Ti 0.167 0.333 0.000
Cd1 Cd 0.136 0.636 0.500
Pt1 Pt 0.000 0.000 0.500
# Crystal system: tetragonal
# DOS at the Fermi energy in states/eV/f.u.: 4.40
# Total energy in eV per atom: -4.650

---

# 5
# CoNiSb2 PBE optimized geometry
data_CoNiSb2
_cell_length_a 3.641
_cell_length_b 3.641
_cell_length_c 5.201
_cell_angle_alpha 90.00
_cell_angle_beta 90.00
_cell_angle_gamma 90.00
_symmetry_space_group_name_H-M 'P 4 m m'
_symmetry_Int_Tables_number 99
loop_
_symmetry_equiv_pos_as_xyz
'x,y,z'
'-y,x,z'
'-x,-y,z'
'y,-x,z'
'-x,y,z'
'y,x,z'
'x,-y,z'
'-y,-x,z'
loop_
_atom_site_label
_atom_site_type_symbol
_atom_site_fract_x
_atom_site_fract_y
_atom_site_fract_z
Co1 Co 0.000 0.000 0.000
Ni1 Ni 0.500 0.500 0.370
Sb1 Sb 0.000 0.000 0.490
Sb2 Sb 0.500 0.500 0.881
# Crystal system: tetragonal
# Raw formation energy in eV per atom: 0.060
# DOS at the Fermi energy in states/eV/f.u.: 3.98

---

# 6
# SiPCl PBE optimized geometry
data_SiPCl
_cell_length_a 3.4642
_cell_length_b 3.4642
_cell_length_c 6.7506
_cell_angle_alpha 90.00
_cell_angle_beta 90.00
_cell_angle_gamma 120.00
_symmetry_space_group_name_H-M 'P 3 m 1'
_symmetry_Int_Tables_number 156
loop_
_symmetry_equiv_pos_as_xyz
'x,y,z'
'-y,x-y,z'
'-x+y,-x,z'
'-y,-x,z'
'-x+y,y,z'
'x,x-y,z'
loop_
_atom_site_label
_atom_site_type_symbol
_atom_site_fract_x
_atom_site_fract_y
_atom_site_fract_z
Si1 Si 0.0000 0.0000 0.0000
P1 P 0.3333 0.6667 0.8444
Cl1 Cl 0.6667 0.3333 0.2606
# Energy above the most stable polymorph in this dataset in meV/atom: 335
# Crystal system: trigonal
# Raw formation energy in eV per atom: -0.227

---

# 7
# Pr8Tm2In PBE optimized geometry
data_Pr8Tm2In
_cell_length_a 18.463
_cell_length_b 5.085
_cell_length_c 8.173
_cell_angle_alpha 90.00
_cell_angle_beta 105.84
_cell_angle_gamma 90.00
_symmetry_space_group_name_H-M 'C 1 2/m 1'
_symmetry_Int_Tables_number 12
loop_
_symmetry_equiv_pos_as_xyz
'x,y,z'
'-x,-y,-z'
'-x,y,-z'
'x,-y,z'
'x+1/2,y+1/2,z'
'-x+1/2,-y+1/2,-z'
'-x+1/2,y+1/2,-z'
'x+1/2,-y+1/2,z'
loop_
_atom_site_label
_atom_site_type_symbol
_atom_site_fract_x
_atom_site_fract_y
_atom_site_fract_z
Pr1 Pr 0.045 0.000 0.230
Pr2 Pr 0.091 0.500 0.944
Pr3 Pr 0.137 0.000 0.680
Pr4 Pr 0.179 0.500 0.409
Tm1 Tm 0.225 0.000 0.132
In1 In 0.000 0.500 0.500
# Crystal system: monoclinic
# DOS at the Fermi energy in states/eV/f.u.: 15.04
# Total energy in eV per atom: -4.606

---

# 8
# Ba3Sn2As4 PBE optimized geometry
data_Ba3Sn2As4
_cell_length_a 8.173
_cell_length_b 20.141
_cell_length_c 8.058
_cell_angle_alpha 90.00
_cell_angle_beta 112.20
_cell_angle_gamma 90.00
_symmetry_space_group_name_H-M 'P 1 21/c 1'
_symmetry_Int_Tables_number 14
loop_
_symmetry_equiv_pos_as_xyz
'x,y,z'
'-x,-y,-z'
'-x,y+1/2,-z+1/2'
'x,-y+1/2,z+1/2'
loop_
_atom_site_label
_atom_site_type_symbol
_atom_site_fract_x
_atom_site_fract_y
_atom_site_fract_z
Ba1 Ba 0.213 0.183 0.009
Ba2 Ba 0.258 0.063 0.511
Ba3 Ba 0.262 0.561 0.505
Sn1 Sn 0.210 0.623 0.025
Sn2 Sn 0.316 0.742 0.901
As1 As 0.001 0.555 0.749
As2 As 0.035 0.683 0.216
As3 As 0.488 0.199 0.784
As4 As 0.498 0.564 0.246
# Energy above the most stable polymorph in this dataset in meV/atom: 0
# Crystal system: monoclinic